No. 1
# YRu2Au | Alexandria | PBE-GGA | optimized geometry
data_YRu2Au
_cell_length_a 5.662
_cell_length_b 9.455
_cell_length_c 3.007
_cell_angle_alpha 90.00
_cell_angle_beta 117.88
_cell_angle_gamma 90.00
_symmetry_space_group_name_H-M 'C 1 2/m 1'
_symmetry_Int_Tables_number 12
loop_
_symmetry_equiv_pos_as_xyz
'x,y,z'
'-x,-y,-z'
'-x,y,-z'
'x,-y,z'
'x+1/2,y+1/2,z'
'-x+1/2,-y+1/2,-z'
'-x+1/2,y+1/2,-z'
'x+1/2,-y+1/2,z'
loop_
_atom_site_label
_atom_site_type_symbol
_atom_site_fract_x
_atom_site_fract_y
_atom_site_fract_z
Y1 Y 0.000 0.000 0.000
Ru1 Ru 0.250 0.250 0.500
Au1 Au 0.000 0.500 0.000
# Spin magnetization (μB per cell): 0.5
# Energy of formation from the pure elements (meV per atom): 153
# Total DFT energy (no corrections) (eV/cell): -55.359
# E above lowest polymorph (kcal/mol of atoms): 4.63

---

No. 2
# CdW2Se | Alexandria | PBE-GGA | optimized geometry
data_CdW2Se
_cell_length_a 3.118
_cell_length_b 4.829
_cell_length_c 10.011
_cell_angle_alpha 90.00
_cell_angle_beta 90.00
_cell_angle_gamma 90.00
_symmetry_space_group_name_H-M 'I m m 2'
_symmetry_Int_Tables_number 44
loop_
_symmetry_equiv_pos_as_xyz
'x,y,z'
'-x,-y,z'
'-x,y,z'
'x,-y,z'
'x+1/2,y+1/2,z+1/2'
'-x+1/2,-y+1/2,z+1/2'
'-x+1/2,y+1/2,z+1/2'
'x+1/2,-y+1/2,z+1/2'
loop_
_atom_site_label
_atom_site_type_symbol
_atom_site_fract_x
_atom_site_fract_y
_atom_site_fract_z
Cd1 Cd 0.000 0.000 0.000
W1 W 0.000 0.000 0.509
W2 W 0.000 0.500 0.206
Se1 Se 0.000 0.500 0.783
# Spin magnetization (μB per cell): 0.0
# Total DFT energy (no corrections) (eV/cell): -55.297
# E above lowest polymorph (kcal/mol of atoms): 8.07

---

No. 3
# Li2CaZnS | Alexandria | PBE-GGA | optimized geometry
data_Li2CaZnS
_cell_length_a 6.200
_cell_length_b 6.200
_cell_length_c 5.017
_cell_angle_alpha 90.00
_cell_angle_beta 90.00
_cell_angle_gamma 90.00
_symmetry_space_group_name_H-M 'P 4/m m m'
_symmetry_Int_Tables_number 123
_symmetry_space_group_name_Hall '-P 4 2'
loop_
_atom_site_label
_atom_site_type_symbol
_atom_site_fract_x
_atom_site_fract_y
_atom_site_fract_z
Li1 Li 0.000 0.500 0.000
Ca1 Ca 0.000 0.000 0.000
Zn1 Zn 0.500 0.500 0.500
S1 S 0.000 0.000 0.500
# Spin magnetization (μB per cell): 0.0
# Total DFT energy (no corrections) (eV/cell): -10.379

---

> What is the total DFT energy (no corrections) in the third record?

-10.379 eV/cell